1.
Here is an optimized crystal structure of TlAgPt2 from Alexandria. Energies are from GGA-PBE.

Geometry as CIF:
```
data_TlAgPt2
_chemical_formula_sum 'Tl1 Ag1 Pt2'
_cell_length_a 4.563
_cell_length_b 2.974
_cell_length_c 5.602
_cell_angle_alpha 75.06
_cell_angle_beta 90.00
_cell_angle_gamma 90.00
_space_group_name_H-M_alt 'P 1'
_space_group_IT_number 1
_space_group_name_Hall 'P 1'
loop_
_atom_site_label
_atom_site_fract_x
_atom_site_fract_y
_atom_site_fract_z
_atom_site_occupancy
Tl1 0.000 0.466 0.453 1
Ag1 0.500 0.779 0.809 1
Pt1 0.000 0.201 0.966 1
Pt2 0.500 0.054 0.272 1
```

Summary:
E_form, eV per atom: 0.063
DOS at the Fermi energy, states/eV/cell: 1.932
Energy, eV/atom: -4.26

2.
Here is an optimized crystal structure of TlAg2Pt from Alexandria. Energies are from GGA-PBE.

Geometry as CIF:
```
data_TlAg2Pt
_chemical_formula_sum 'Tl1 Ag2 Pt1'
_cell_length_a 4.076
_cell_length_b 4.151
_cell_length_c 4.412
_cell_angle_alpha 90.00
_cell_angle_beta 90.00
_cell_angle_gamma 90.00
_space_group_name_H-M_alt 'P 1'
_space_group_IT_number 1
_space_group_name_Hall 'P 1'
loop_
_atom_site_label
_atom_site_fract_x
_atom_site_fract_y
_atom_site_fract_z
_atom_site_occupancy
Tl1 0.000 0.500 0.500 1
Ag1 0.000 0.000 0.000 1
Ag2 0.500 0.500 0.000 1
Pt1 0.500 0.000 0.500 1
```

Summary:
E_form, eV per atom: 0.048
Distance to the lowest polymorph of the same formula, eV/atom: 0.0000
DOS at the Fermi energy, states/eV/cell: 1.860
Energy, eV/atom: -3.48

3.
Here is an optimized crystal structure of TlAgPt from Alexandria. Energies are from GGA-PBE.

Geometry as CIF:
```
data_TlAgPt
_chemical_formula_sum 'Tl1 Ag1 Pt1'
_cell_length_a 6.240
_cell_length_b 6.240
_cell_length_c 3.177
_cell_angle_alpha 75.25
_cell_angle_beta 75.26
_cell_angle_gamma 29.50
_space_group_name_H-M_alt 'P 1'
_space_group_IT_number 1
_space_group_name_Hall 'P 1'
loop_
_atom_site_label
_atom_site_fract_x
_atom_site_fract_y
_atom_site_fract_z
_atom_site_occupancy
Tl1 0.324 0.324 0.676 1
Ag1 0.011 0.011 0.989 1
Pt1 0.664 0.664 0.336 1
```

Summary:
E_form, eV per atom: 0.141
Distance to the lowest polymorph of the same formula, eV/atom: 0.1113
DOS at the Fermi energy, states/eV/cell: 1.483
Energy, eV/atom: -3.61

4.
Here is an optimized crystal structure of TlAgPt2 from Alexandria. Energies are from GGA-PBE.

Geometry as CIF:
```
data_TlAgPt2
_chemical_formula_sum 'Tl1 Ag1 Pt2'
_cell_length_a 3.043
_cell_length_b 3.043
_cell_length_c 7.738
_cell_angle_alpha 90.00
_cell_angle_beta 90.00
_cell_angle_gamma 90.00
_space_group_name_H-M_alt 'P 1'
_space_group_IT_number 1
_space_group_name_Hall 'P 1'
loop_
_atom_site_label
_atom_site_fract_x
_atom_site_fract_y
_atom_site_fract_z
_atom_site_occupancy
Tl1 0.500 0.500 0.250 1
Ag1 0.500 0.500 0.750 1
Pt1 0.000 0.000 0.997 1
Pt2 0.000 0.000 0.503 1
```

Summary:
E_form, eV per atom: 0.077
DOS at the Fermi energy, states/eV/cell: 1.154
Energy, eV/atom: -4.25

5.
Here is an optimized crystal structure of TlAgPt2 from Alexandria. Energies are from GGA-PBE.

Geometry as CIF:
```
data_TlAgPt2
_chemical_formula_sum 'Tl1 Ag1 Pt2'
_cell_length_a 5.070
_cell_length_b 5.070
_cell_length_c 5.070
_cell_angle_alpha 131.59
_cell_angle_beta 131.58
_cell_angle_gamma 70.88
_space_group_name_H-M_alt 'P 1'
_space_group_IT_number 1
_space_group_name_Hall 'P 1'
loop_
_atom_site_label
_atom_site_fract_x
_atom_site_fract_y
_atom_site_fract_z
_atom_site_occupancy
Tl1 0.500 0.500 0.000 1
Ag1 0.250 0.750 0.500 1
Pt1 0.000 0.000 0.000 1
Pt2 0.750 0.250 0.500 1
```

Summary:
E_form, eV per atom: 0.056
DOS at the Fermi energy, states/eV/cell: 1.531
Energy, eV/atom: -4.27

6.
Here is an optimized crystal structure of TlAgPt2 from Alexandria. Energies are from GGA-PBE.

Geometry as CIF:
```
data_TlAgPt2
_chemical_formula_sum 'Tl1 Ag1 Pt2'
_cell_length_a 4.946
_cell_length_b 4.946
_cell_length_c 5.102
_cell_angle_alpha 79.48
_cell_angle_beta 79.48
_cell_angle_gamma 35.99
_space_group_name_H-M_alt 'P 1'
_space_group_IT_number 1
_space_group_name_Hall 'P 1'
loop_
_atom_site_label
_atom_site_fract_x
_atom_site_fract_y
_atom_site_fract_z
_atom_site_occupancy
Tl1 0.250 0.250 0.250 1
Ag1 0.750 0.750 0.750 1
Pt1 0.000 0.000 0.993 1
Pt2 0.500 0.500 0.507 1
```

Summary:
E_form, eV per atom: 0.083
DOS at the Fermi energy, states/eV/cell: 2.327
Energy, eV/atom: -4.24

7.
Here is an optimized crystal structure of TlAg2Pt from Alexandria. Energies are from GGA-PBE.

Geometry as CIF:
```
data_TlAg2Pt
_chemical_formula_sum 'Tl1 Ag2 Pt1'
_cell_length_a 3.021
_cell_length_b 3.021
_cell_length_c 8.433
_cell_angle_alpha 90.00
_cell_angle_beta 90.00
_cell_angle_gamma 89.96
_space_group_name_H-M_alt 'P 1'
_space_group_IT_number 1
_space_group_name_Hall 'P 1'
loop_
_atom_site_label
_atom_site_fract_x
_atom_site_fract_y
_atom_site_fract_z
_atom_site_occupancy
Tl1 0.500 0.500 0.732 1
Ag1 0.000 0.000 0.023 1
Ag2 0.500 0.500 0.258 1
Pt1 0.000 0.000 0.488 1
```

Summary:
E_form, eV per atom: 0.111
Distance to the lowest polymorph of the same formula, eV/atom: 0.0622
DOS at the Fermi energy, states/eV/cell: 1.513
Energy, eV/atom: -3.42

8.
Here is an optimized crystal structure of TlAgPt2 from Alexandria. Energies are from GGA-PBE.

Geometry as CIF:
```
data_TlAgPt2
_chemical_formula_sum 'Tl1 Ag1 Pt2'
_cell_length_a 4.966
_cell_length_b 4.966
_cell_length_c 3.020
_cell_angle_alpha 90.04
_cell_angle_beta 90.04
_cell_angle_gamma 106.73
_space_group_name_H-M_alt 'P 1'
_space_group_IT_number 1
_space_group_name_Hall 'P 1'
loop_
_atom_site_label
_atom_site_fract_x
_atom_site_fract_y
_atom_site_fract_z
_atom_site_occupancy
Tl1 0.500 0.000 0.500 1
Ag1 0.000 0.500 0.500 1
Pt1 0.000 0.000 0.000 1
Pt2 0.500 0.500 0.000 1
```

Summary:
E_form, eV per atom: 0.022
DOS at the Fermi energy, states/eV/cell: 1.729
Energy, eV/atom: -4.30